[1]
Material: Pm6ErSn6
Method: DFT, PBE
State: optimized geometry

Geometry as CIF:
```
data_Pm6ErSn6
_cell_length_a 7.3865
_cell_length_b 7.3865
_cell_length_c 9.1529
_cell_angle_alpha 90.00
_cell_angle_beta 90.00
_cell_angle_gamma 120.00
_symmetry_space_group_name_H-M 'P 6/m m m'
_symmetry_Int_Tables_number 191
_symmetry_space_group_name_Hall '-P 6 2'
loop_
_atom_site_label
_atom_site_fract_x
_atom_site_fract_y
_atom_site_fract_z
Pm1 0.0000 0.5000 0.2476
Er1 0.0000 0.0000 0.5000
Sn1 0.0000 0.0000 0.1641
Sn2 0.3333 0.6667 0.0000
Sn3 0.3333 0.6667 0.5000
```

Results
DOS(E_F), states/eV/atom: 1.005



[2]
Material: Pm3Er2Sn2
Method: DFT, PBE
State: optimized geometry

Geometry as CIF:
```
data_Pm3Er2Sn2
_cell_length_a 17.365
_cell_length_b 3.500
_cell_length_c 7.833
_cell_angle_alpha 90.00
_cell_angle_beta 115.21
_cell_angle_gamma 90.00
_symmetry_space_group_name_H-M 'C 1 2/m 1'
_symmetry_Int_Tables_number 12
loop_
_symmetry_equiv_pos_as_xyz
'x,y,z'
'-x,-y,-z'
'-x,y,-z'
'x,-y,z'
'x+1/2,y+1/2,z'
'-x+1/2,-y+1/2,-z'
'-x+1/2,y+1/2,-z'
'x+1/2,-y+1/2,z'
loop_
_atom_site_label
_atom_site_fract_x
_atom_site_fract_y
_atom_site_fract_z
Pm1 0.000 0.000 0.000
Pm2 0.221 0.000 0.210
Er1 0.088 0.000 0.700
Sn1 0.103 0.500 0.382
```

Results
DOS(E_F), states/eV/atom: 1.194



[3]
Material: Pm2Er2Sn5
Method: DFT, PBE
State: optimized geometry

Geometry as CIF:
```
data_Pm2Er2Sn5
_cell_length_a 16.430
_cell_length_b 8.030
_cell_length_c 8.033
_cell_angle_alpha 90.00
_cell_angle_beta 90.00
_cell_angle_gamma 90.00
_symmetry_space_group_name_H-M 'C m c e'
_symmetry_Int_Tables_number 64
_symmetry_space_group_name_Hall '-C 2ac 2'
loop_
_atom_site_label
_atom_site_fract_x
_atom_site_fract_y
_atom_site_fract_z
Pm1 0.191 0.000 0.000
Er1 0.000 0.166 0.334
Sn1 0.000 0.000 0.000
Sn2 0.133 0.129 0.629
```

Results
DOS(E_F), states/eV/atom: 0.305



[4]
Material: Pm12Er5Sn2
Method: DFT, PBE
State: optimized geometry

Geometry as CIF:
```
data_Pm12Er5Sn2
_cell_length_a 15.282
_cell_length_b 9.558
_cell_length_c 8.527
_cell_angle_alpha 90.00
_cell_angle_beta 93.05
_cell_angle_gamma 90.00
_symmetry_space_group_name_H-M 'C 1 2/m 1'
_symmetry_Int_Tables_number 12
loop_
_symmetry_equiv_pos_as_xyz
'x,y,z'
'-x,-y,-z'
'-x,y,-z'
'x,-y,z'
'x+1/2,y+1/2,z'
'-x+1/2,-y+1/2,-z'
'-x+1/2,y+1/2,-z'
'x+1/2,-y+1/2,z'
loop_
_atom_site_label
_atom_site_fract_x
_atom_site_fract_y
_atom_site_fract_z
Pm1 0.052 0.000 0.310
Pm2 0.082 0.500 0.883
Pm3 0.121 0.197 0.652
Pm4 0.152 0.316 0.231
Er1 0.000 0.500 0.500
Er2 0.178 0.000 0.000
Er3 0.235 0.500 0.588
Sn1 0.000 0.193 0.000
```

Results
DOS(E_F), states/eV/atom: 1.317



[5]
Material: Pm2ErSn2
Method: DFT, PBE
State: optimized geometry

Geometry as CIF:
```
data_Pm2ErSn2
_cell_length_a 8.097
_cell_length_b 8.097
_cell_length_c 4.527
_cell_angle_alpha 90.00
_cell_angle_beta 90.00
_cell_angle_gamma 90.00
_symmetry_space_group_name_H-M 'P 4/m b m'
_symmetry_Int_Tables_number 127
_symmetry_space_group_name_Hall '-P 4 2ab'
loop_
_atom_site_label
_atom_site_fract_x
_atom_site_fract_y
_atom_site_fract_z
Pm1 0.171 0.329 0.000
Er1 0.000 0.000 0.500
Sn1 0.131 0.631 0.500
```

Results
Relative energy among the computed polymorphs, meV/atom: 0.0
DOS(E_F), states/eV/atom: 0.887



[6]
Material: PmEr3Sn3
Method: DFT, PBE
State: optimized geometry

Geometry as CIF:
```
data_PmEr3Sn3
_cell_length_a 9.1337
_cell_length_b 9.1337
_cell_length_c 5.3901
_cell_angle_alpha 90.00
_cell_angle_beta 90.00
_cell_angle_gamma 120.00
_symmetry_space_group_name_H-M 'P 63/m'
_symmetry_Int_Tables_number 176
_symmetry_space_group_name_Hall '-P 6c'
loop_
_atom_site_label
_atom_site_fract_x
_atom_site_fract_y
_atom_site_fract_z
Pm1 0.3333 0.6667 0.2500
Er1 0.0043 0.7666 0.2500
Sn1 0.0737 0.6246 0.7500
```

Results
DOS(E_F), states/eV/atom: 1.022



[7]
Material: Pm3ErSn
Method: DFT, PBE
State: optimized geometry

Geometry as CIF:
```
data_Pm3ErSn
_cell_length_a 5.699
_cell_length_b 15.981
_cell_length_c 6.737
_cell_angle_alpha 90.00
_cell_angle_beta 90.00
_cell_angle_gamma 90.00
_symmetry_space_group_name_H-M 'C m c m'
_symmetry_Int_Tables_number 63
_symmetry_space_group_name_Hall '-C 2c 2'
loop_
_atom_site_label
_atom_site_fract_x
_atom_site_fract_y
_atom_site_fract_z
Pm1 0.000 0.084 0.250
Pm2 0.000 0.310 0.502
Er1 0.000 0.486 0.250
Sn1 0.000 0.125 0.750
```

Results
DOS(E_F), states/eV/atom: 1.063



[8]
Material: TbPmErSn
Method: DFT, PBE
State: optimized geometry

Geometry as CIF:
```
data_TbPmErSn
_cell_length_a 7.681
_cell_length_b 7.681
_cell_length_c 7.681
_cell_angle_alpha 90.00
_cell_angle_beta 90.00
_cell_angle_gamma 90.00
_symmetry_space_group_name_H-M 'F -4 3 m'
_symmetry_Int_Tables_number 216
_symmetry_space_group_name_Hall 'F -4 2 3'
loop_
_atom_site_label
_atom_site_fract_x
_atom_site_fract_y
_atom_site_fract_z
Tb1 0.000 0.000 0.000
Pm1 0.250 0.250 0.750
Er1 0.000 0.000 0.500
Sn1 0.250 0.250 0.250
```

Results
DOS(E_F), states/eV/atom: 1.843



[9]
Material: PmErSnTe
Method: DFT, PBE
State: optimized geometry

Geometry as CIF:
```
data_PmErSnTe
_cell_length_a 4.4248
_cell_length_b 4.4248
_cell_length_c 21.7951
_cell_angle_alpha 90.00
_cell_angle_beta 90.00
_cell_angle_gamma 120.00
_symmetry_space_group_name_H-M 'R 3 m'
_symmetry_Int_Tables_number 160
_symmetry_space_group_name_Hall 'R 3 -2"'
loop_
_atom_site_label
_atom_site_fract_x
_atom_site_fract_y
_atom_site_fract_z
Pm1 0.0000 0.0000 0.0000
Er1 0.0000 0.0000 0.5081
Sn1 0.0000 0.0000 0.2512
Te1 0.0000 0.0000 0.7575
```

Results
DOS(E_F), states/eV/atom: 0.325



[10]
Material: PmErTmSn
Method: DFT, PBE
State: optimized geometry

Geometry as CIF:
```
data_PmErTmSn
_cell_length_a 7.639
_cell_length_b 7.639
_cell_length_c 7.639
_cell_angle_alpha 90.00
_cell_angle_beta 90.00
_cell_angle_gamma 90.00
_symmetry_space_group_name_H-M 'F -4 3 m'
_symmetry_Int_Tables_number 216
_symmetry_space_group_name_Hall 'F -4 2 3'
loop_
_atom_site_label
_atom_site_fract_x
_atom_site_fract_y
_atom_site_fract_z
Pm1 0.000 0.000 0.000
Er1 0.250 0.250 0.250
Tm1 0.250 0.250 0.750
Sn1 0.000 0.000 0.500
```

Results
DOS(E_F), states/eV/atom: 1.541



[11]
Material: PmYErSn
Method: DFT, PBE
State: optimized geometry

Geometry as CIF:
```
data_PmYErSn
_cell_length_a 7.686
_cell_length_b 7.686
_cell_length_c 7.686
_cell_angle_alpha 90.00
_cell_angle_beta 90.00
_cell_angle_gamma 90.00
_symmetry_space_group_name_H-M 'F -4 3 m'
_symmetry_Int_Tables_number 216
_symmetry_space_group_name_Hall 'F -4 2 3'
loop_
_atom_site_label
_atom_site_fract_x
_atom_site_fract_y
_atom_site_fract_z
Pm1 0.000 0.000 0.000
Y1 0.250 0.250 0.750
Er1 0.250 0.250 0.250
Sn1 0.000 0.000 0.500
```

Results
DOS(E_F), states/eV/atom: 1.450



[12]
Material: PmEr2Zn2Sn2
Method: DFT, PBE
State: optimized geometry

Geometry as CIF:
```
data_PmEr2Zn2Sn2
_cell_length_a 4.6778
_cell_length_b 4.6778
_cell_length_c 27.5845
_cell_angle_alpha 90.00
_cell_angle_beta 90.00
_cell_angle_gamma 120.00
_symmetry_space_group_name_H-M 'R -3 m'
_symmetry_Int_Tables_number 166
_symmetry_space_group_name_Hall '-R 3 2"'
loop_
_atom_site_label
_atom_site_fract_x
_atom_site_fract_y
_atom_site_fract_z
Pm1 0.0000 0.0000 0.0000
Er1 0.0000 0.0000 0.1322
Zn1 0.0000 0.0000 0.4237
Sn1 0.0000 0.0000 0.2650
```

Results
DOS(E_F), states/eV/atom: 1.023



[13]
Material: SrPm2Er
Method: DFT, PBE
State: optimized geometry

Geometry as CIF:
```
data_SrPm2Er
_cell_length_a 4.088
_cell_length_b 4.088
_cell_length_c 9.158
_cell_angle_alpha 90.00
_cell_angle_beta 90.00
_cell_angle_gamma 90.00
_symmetry_space_group_name_H-M 'P 4/m m m'
_symmetry_Int_Tables_number 123
_symmetry_space_group_name_Hall '-P 4 2'
loop_
_atom_site_label
_atom_site_fract_x
_atom_site_fract_y
_atom_site_fract_z
Sr1 0.000 0.000 0.000
Pm1 0.500 0.500 0.295
Er1 0.000 0.000 0.500
```

Results
Relative energy among the computed polymorphs, meV/atom: 17.1
DOS(E_F), states/eV/atom: 1.239



[14]
Material: SrPmEr
Method: DFT, PBE
State: optimized geometry

Geometry as CIF:
```
data_SrPmEr
_cell_length_a 3.752
_cell_length_b 3.752
_cell_length_c 16.139
_cell_angle_alpha 90.00
_cell_angle_beta 90.00
_cell_angle_gamma 90.00
_symmetry_space_group_name_H-M 'I 4 m m'
_symmetry_Int_Tables_number 107
_symmetry_space_group_name_Hall 'I 4 -2'
loop_
_atom_site_label
_atom_site_fract_x
_atom_site_fract_y
_atom_site_fract_z
Sr1 0.000 0.000 0.000
Pm1 0.000 0.000 0.318
Er1 0.000 0.000 0.678
```

Results
Relative energy among the computed polymorphs, meV/atom: 0.1
DOS(E_F), states/eV/atom: 1.467



[15]
Material: SrPm2Er
Method: DFT, PBE
State: optimized geometry

Geometry as CIF:
```
data_SrPm2Er
_cell_length_a 5.260
_cell_length_b 5.260
_cell_length_c 5.249
_cell_angle_alpha 90.00
_cell_angle_beta 90.00
_cell_angle_gamma 90.00
_symmetry_space_group_name_H-M 'P 4/m m m'
_symmetry_Int_Tables_number 123
_symmetry_space_group_name_Hall '-P 4 2'
loop_
_atom_site_label
_atom_site_fract_x
_atom_site_fract_y
_atom_site_fract_z
Sr1 0.000 0.000 0.000
Pm1 0.000 0.500 0.500
Er1 0.500 0.500 0.000
```

Results
Relative energy among the computed polymorphs, meV/atom: 76.8
DOS(E_F), states/eV/atom: 1.627



[16]
Material: SrPm2Er
Method: DFT, PBE
State: optimized geometry

Geometry as CIF:
```
data_SrPm2Er
_cell_length_a 3.7097
_cell_length_b 3.7097
_cell_length_c 36.9517
_cell_angle_alpha 90.00
_cell_angle_beta 90.00
_cell_angle_gamma 120.00
_symmetry_space_group_name_H-M 'R 3 m'
_symmetry_Int_Tables_number 160
_symmetry_space_group_name_Hall 'R 3 -2"'
loop_
_atom_site_label
_atom_site_fract_x
_atom_site_fract_y
_atom_site_fract_z
Sr1 0.0000 0.0000 0.0000
Pm1 0.0000 0.0000 0.5762
Pm2 0.0000 0.0000 0.7570
Er1 0.0000 0.0000 0.1664
```

Results
Relative energy among the computed polymorphs, meV/atom: 0.0
DOS(E_F), states/eV/atom: 1.332



[17]
Material: SrPmEr
Method: DFT, PBE
State: optimized geometry

Geometry as CIF:
```
data_SrPmEr
_cell_length_a 3.7442
_cell_length_b 3.7442
_cell_length_c 9.3108
_cell_angle_alpha 90.00
_cell_angle_beta 90.00
_cell_angle_gamma 120.00
_symmetry_space_group_name_H-M 'P 3 m 1'
_symmetry_Int_Tables_number 156
loop_
_symmetry_equiv_pos_as_xyz
'x,y,z'
'-y,x-y,z'
'-x+y,-x,z'
'-y,-x,z'
'-x+y,y,z'
'x,x-y,z'
loop_
_atom_site_label
_atom_site_fract_x
_atom_site_fract_y
_atom_site_fract_z
Sr1 0.0000 0.0000 0.0000
Pm1 0.6667 0.3333 0.3604
Er1 0.3333 0.6667 0.6533
```

Results
Relative energy among the computed polymorphs, meV/atom: 21.5
DOS(E_F), states/eV/atom: 1.474



[18]
Material: SrPmEr
Method: DFT, PBE
State: optimized geometry

Geometry as CIF:
```
data_SrPmEr
_cell_length_a 13.072
_cell_length_b 3.903
_cell_length_c 9.655
_cell_angle_alpha 90.00
_cell_angle_beta 109.96
_cell_angle_gamma 90.00
_symmetry_space_group_name_H-M 'C 1 2/m 1'
_symmetry_Int_Tables_number 12
loop_
_symmetry_equiv_pos_as_xyz
'x,y,z'
'-x,-y,-z'
'-x,y,-z'
'x,-y,z'
'x+1/2,y+1/2,z'
'-x+1/2,-y+1/2,-z'
'-x+1/2,y+1/2,-z'
'x+1/2,-y+1/2,z'
loop_
_atom_site_label
_atom_site_fract_x
_atom_site_fract_y
_atom_site_fract_z
Sr1 0.153 0.000 0.078
Pm1 0.004 0.500 0.316
Er1 0.188 0.000 0.591
```

Results
Relative energy among the computed polymorphs, meV/atom: 0.0
DOS(E_F), states/eV/atom: 1.146



[19]
Material: SrPm2Er
Method: DFT, PBE
State: optimized geometry

Geometry as CIF:
```
data_SrPm2Er
_cell_length_a 3.6444
_cell_length_b 3.6444
_cell_length_c 39.0080
_cell_angle_alpha 90.00
_cell_angle_beta 90.00
_cell_angle_gamma 120.00
_symmetry_space_group_name_H-M 'R -3 m'
_symmetry_Int_Tables_number 166
_symmetry_space_group_name_Hall '-R 3 2"'
loop_
_atom_site_label
_atom_site_fract_x
_atom_site_fract_y
_atom_site_fract_z
Sr1 0.0000 0.0000 0.0000
Pm1 0.0000 0.0000 0.0937
Er1 0.0000 0.0000 0.5000
```

Results
Relative energy among the computed polymorphs, meV/atom: 89.0
DOS(E_F), states/eV/atom: 1.407



[20]
Material: Sr3PmEr3Te8
Method: DFT, PBE
State: optimized geometry

Geometry as CIF:
```
data_Sr3PmEr3Te8
_cell_length_a 8.8678
_cell_length_b 8.8678
_cell_length_c 22.7626
_cell_angle_alpha 90.00
_cell_angle_beta 90.00
_cell_angle_gamma 120.00
_symmetry_space_group_name_H-M 'R -3 m'
_symmetry_Int_Tables_number 166
_symmetry_space_group_name_Hall '-R 3 2"'
loop_
_atom_site_label
_atom_site_fract_x
_atom_site_fract_y
_atom_site_fract_z
Sr1 0.0000 0.5000 0.0000
Pm1 0.0000 0.0000 0.5000
Er1 0.0000 0.5000 0.5000
Te1 0.0000 0.0000 0.2427
Te2 0.0128 0.5064 0.7553
```

Results
DOS(E_F), states/eV/atom: 0.349



Raw total energy for the records above, in order: -62.3, -66.8, -175.4, -178.9, -51.3, -68.4, -96.2, -75.2, -62.0, -74.2, -82.6, -80.3, -15.3, -21.3, -15.0, -46.0, -10.6, -42.5, -44.9, -213.4 eV per cell